This record from the Alexandria database describes HoScW4 after structural relaxation. The functional is GGA-PBE.

Summary:
symmetry = F-43m
calculated formation energy = 92 meV/atom
DOS at the Fermi energy = 7.33 states/eV per cell

Cell: 5.4708 5.4708 5.4708 Å, 60.00 60.00 60.00°
With the nearest neighbours (Å) after each atom.
Positions (direct):
Ho (0.0000, 0.0000, 0.0000)  12 W 3.21, 4 Sc 3.35
Sc (0.7500, 0.7500, 0.7500)  12 W 3.21, 4 Ho 3.35
W (0.3750, 0.3750, 0.3750)  6 W 2.74
W (0.3750, 0.3750, 0.8750)  6 W 2.74
W (0.3750, 0.8750, 0.3750)  6 W 2.74
W (0.8750, 0.3750, 0.3750)  6 W 2.74

=====

This record from the Alexandria database describes Pr5Sb4Se after structural relaxation. The functional is GGA-PBE.

Summary:
symmetry = I4/m
formation energy from raw total energies = -1.34 eV/atom
DOS at the Fermi energy = 2.61 states/eV per cell
ΔE to the lowest computed polymorph = 0 kJ/mol of formula units

Cell: 7.8044 7.8044 7.8044 Å, 99.63 99.63 131.72°
With the nearest neighbours (Å) after each atom.
Positions (direct):
Pr (0.0000, 0.0000, 0.0000)  4 Sb 3.18, 2 Se 3.19
Pr (0.2049, 0.5996, 0.8045)  1 Se 3.14, 5 Sb 3.19-3.21
Pr (0.4004, 0.2049, 0.6052)  1 Se 3.14, 5 Sb 3.19-3.21
Pr (0.5996, 0.7951, 0.3948)  1 Se 3.14, 5 Sb 3.19-3.21
Pr (0.7951, 0.4004, 0.1955)  1 Se 3.14, 5 Sb 3.19-3.21
Sb (0.0975, 0.3002, 0.3977)  6 Pr 3.18-3.21
Sb (0.3002, 0.9025, 0.2027)  6 Pr 3.18-3.21
Sb (0.6998, 0.0975, 0.7973)  6 Pr 3.18-3.21
Sb (0.9025, 0.6998, 0.6023)  6 Pr 3.18-3.21
Se (0.5000, 0.5000, 0.0000)  6 Pr 3.14-3.19

=====

This record from the Alexandria database describes SrZrPt2 after structural relaxation. The functional is GGA-PBE.

Summary:
symmetry = P4/mmm
calculated formation energy = -696 meV/atom
DOS at the Fermi energy = 3.45 states/eV per cell
ΔE to the lowest computed polymorph = 83 kJ/mol of formula units

Cell: 5.1683 5.1683 3.1461 Å, 90.00 90.00 90.00°
With the nearest neighbours (Å) after each atom.
Positions (direct):
Sr (0.0000, 0.0000, 0.0000)  8 Pt 3.03, 2 Sr 3.15
Zr (0.5000, 0.5000, 0.0000)  8 Pt 3.03, 2 Zr 3.15
Pt (0.0000, 0.5000, 0.5000)  4 Zr 3.03, 4 Sr 3.03, 2 Pt 3.15
Pt (0.5000, 0.0000, 0.5000)  4 Zr 3.03, 4 Sr 3.03, 2 Pt 3.15

=====

This record from the Alexandria database describes Fe2BiSe after structural relaxation. The functional is GGA-PBE.

Summary:
symmetry = Fm-3m
formation energy from raw total energies = 0.49 eV/atom
DOS at the Fermi energy = 5.52 states/eV per cell
ΔE to the lowest computed polymorph = 7 kJ/mol of formula units

Cell: 4.6037 4.6037 4.6037 Å, 60.00 60.00 60.00°
With the nearest neighbours (Å) after each atom.
Positions (direct):
Fe (0.2500, 0.2500, 0.2500)  4 Se 2.82, 4 Bi 2.82
Fe (0.7500, 0.7500, 0.7500)  4 Se 2.82, 4 Bi 2.82
Bi (0.0000, 0.0000, 0.0000)  8 Fe 2.82
Se (0.5000, 0.5000, 0.5000)  8 Fe 2.82

=====

This record from the Alexandria database describes Ca2PrErSe4 after structural relaxation. The functional is GGA-PBE.

Summary:
symmetry = P2/m
formation energy from raw total energies = -1.87 eV/atom
DOS at the Fermi energy = 3.46 states/eV per cell

Cell: 7.2011 4.1443 7.3056 Å, 90.00 109.05 90.00°
With the nearest neighbours (Å) after each atom.
Positions (direct):
Ca (0.0000, 0.0000, 0.0000)  6 Se 3.00
Ca (0.5000, 0.5000, 0.0000)  6 Se 2.91
Pr (0.0000, 0.5000, 0.5000)  6 Se 3.00
Er (0.5000, 0.0000, 0.5000)  6 Se 2.91
Se (0.2615, 0.0000, 0.7541)  3 Ca 2.91-3.00, 1 Er 2.91, 2 Pr 3.00
Se (0.2605, 0.5000, 0.2533)  3 Ca 2.91-3.00, 2 Er 2.91, 1 Pr 3.00
Se (0.7385, 0.0000, 0.2459)  3 Ca 2.91-3.00, 1 Er 2.91, 2 Pr 3.00
Se (0.7395, 0.5000, 0.7467)  3 Ca 2.91-3.00, 2 Er 2.91, 1 Pr 3.00

=====

This record from the Alexandria database describes Ho3Ag3AsO8 after structural relaxation. The functional is GGA-PBE.

Summary:
symmetry = C2/m
formation energy from raw total energies = -1.88 eV/atom
DOS at the Fermi energy = 1.44 states/eV per cell

Cell: 6.7446 6.7446 6.9276 Å, 119.31 119.31 60.03°
With the nearest neighbours (Å) after each atom.
Positions (direct):
Ho (0.0000, 0.0000, 0.0000)  6 O 2.21-2.32
Ho (0.0000, 0.5000, 0.0000)  6 O 2.21-2.32
Ho (0.5000, 0.0000, 0.0000)  6 O 2.21-2.32
Ag (0.0000, 0.5000, 0.5000)  6 O 2.57-2.66
Ag (0.5000, 0.0000, 0.5000)  6 O 2.57-2.66
Ag (0.5000, 0.5000, 0.5000)  6 O 2.58-2.64
As (0.5000, 0.5000, 0.0000)  6 O 2.03
O (0.2286, 0.2286, 0.1846)  3 Ho 2.21
O (0.2658, 0.7107, 0.1859)  1 As 2.03
O (0.2893, 0.7342, 0.8141)  1 As 2.03
O (0.2896, 0.2896, 0.8145)  1 As 2.03
O (0.7104, 0.7104, 0.1855)  1 As 2.03
O (0.7107, 0.2658, 0.1859)  1 As 2.03
O (0.7342, 0.2893, 0.8141)  1 As 2.03
O (0.7714, 0.7714, 0.8154)  3 Ho 2.21

=====

This record from the Alexandria database describes Er12In5Ag2 after structural relaxation. The functional is GGA-PBE.

Summary:
symmetry = C2/m
calculated formation energy = -172 meV/atom
DOS at the Fermi energy = 20.29 states/eV per cell

Cell: 9.2967 9.2967 9.0046 Å, 96.75 96.75 44.23°
With the nearest neighbours (Å) after each atom.
Positions (direct):
Er (0.0035, 0.0035, 0.1889)  2 Ag 3.09, 1 Er 3.39
Er (0.0952, 0.6017, 0.9853)  4 In 3.14-3.38, 3 Er 3.44-3.50
Er (0.0988, 0.5864, 0.5757)  1 Ag 2.92, 1 In 3.21
Er (0.3983, 0.9048, 0.0147)  4 In 3.14-3.38, 3 Er 3.44-3.50
Er (0.4136, 0.9012, 0.4243)  1 Ag 2.92, 1 In 3.21
Er (0.4563, 0.4563, 0.3107)  2 Ag 2.83, 2 In 2.99-3.14
Er (0.5437, 0.5437, 0.6893)  2 Ag 2.83, 2 In 2.99-3.14
Er (0.5864, 0.0988, 0.5757)  1 Ag 2.92, 1 In 3.21
Er (0.6017, 0.0952, 0.9853)  4 In 3.14-3.38, 3 Er 3.44-3.50
Er (0.9012, 0.4136, 0.4243)  1 Ag 2.92, 1 In 3.21
Er (0.9048, 0.3983, 0.0147)  4 In 3.14-3.38, 3 Er 3.44-3.50
Er (0.9965, 0.9965, 0.8111)  2 Ag 3.09, 1 Er 3.39
In (0.2035, 0.2035, 0.7386)  8 Er 3.24-3.59, 2 In 3.52
In (0.2727, 0.2727, 0.2525)  9 Er 3.14-3.46
In (0.5000, 0.5000, 0.0000)  6 Er 2.99-3.14
In (0.7273, 0.7273, 0.7475)  9 Er 3.14-3.46
In (0.7965, 0.7965, 0.2614)  8 Er 3.24-3.59, 2 In 3.52
Ag (0.1855, 0.8145, 0.5000)  1 Ag 2.60, 2 Er 2.83
Ag (0.8145, 0.1855, 0.5000)  1 Ag 2.60, 2 Er 2.83

=====

This record from the Alexandria database describes Pm5AgAu2 after structural relaxation. The functional is GGA-PBE.

Summary:
symmetry = I4/mcm
calculated formation energy = -439 meV/atom
DOS at the Fermi energy = 21.63 states/eV per cell

Cell: 8.7610 8.7610 8.7610 Å, 123.22 123.22 84.50°
With the nearest neighbours (Å) after each atom.
Positions (direct):
Pm (0.0000, 0.0000, 0.0000)  2 Ag 3.24, 4 Au 3.26
Pm (0.0129, 0.5129, 0.8163)  3 Au 3.07-3.11, 2 Ag 3.42
Pm (0.1967, 0.0129, 0.5000)  3 Au 3.07-3.11, 2 Ag 3.42
Pm (0.3033, 0.8033, 0.8163)  3 Au 3.07-3.11, 2 Ag 3.42
Pm (0.4871, 0.3033, 0.5000)  3 Au 3.07-3.11, 2 Ag 3.42
Pm (0.5000, 0.5000, 0.0000)  2 Ag 3.24, 4 Au 3.26
Pm (0.5129, 0.6967, 0.5000)  3 Au 3.07-3.11, 2 Ag 3.42
Pm (0.6967, 0.1967, 0.1837)  3 Au 3.07-3.11, 2 Ag 3.42
Pm (0.8033, 0.9871, 0.5000)  3 Au 3.07-3.11, 2 Ag 3.42
Pm (0.9871, 0.4871, 0.1837)  3 Au 3.07-3.11, 2 Ag 3.42
Ag (0.2500, 0.2500, 0.0000)  10 Pm 3.24-3.42
Ag (0.7500, 0.7500, 0.0000)  10 Pm 3.24-3.42
Au (0.1320, 0.3680, 0.5000)  8 Pm 3.07-3.26, 1 Au 3.11
Au (0.3680, 0.8680, 0.2360)  8 Pm 3.07-3.26, 1 Au 3.11
Au (0.6320, 0.1320, 0.7640)  8 Pm 3.07-3.26, 1 Au 3.11
Au (0.8680, 0.6320, 0.5000)  8 Pm 3.07-3.26, 1 Au 3.11

=====

This record from the Alexandria database describes K2SiW after structural relaxation. The functional is GGA-PBE.

Summary:
symmetry = Cm
formation energy from raw total energies = 0.74 eV/atom
DOS at the Fermi energy = 3.59 states/eV per cell

Cell: 4.4942 4.4942 10.2365 Å, 92.54 92.54 37.94°
With the nearest neighbours (Å) after each atom.
Positions (direct):
K (0.0000, 0.0000, 0.0000)  2 K 2.92
K (0.2203, 0.2203, 0.5736)  2 K 2.92
Si (0.7352, 0.7352, 0.2450)  3 W 2.42-2.52
W (0.4664, 0.4664, 0.3136)  3 Si 2.42-2.52

=====

This record from the Alexandria database describes CaDyAgTe3 after structural relaxation. The functional is GGA-PBE.

Summary:
symmetry = P2_1/m
formation energy from raw total energies = -1.15 eV/atom

Cell: 8.5002 4.3138 10.2142 Å, 90.00 103.27 90.00°
With the nearest neighbours (Å) after each atom.
Positions (direct):
Ca (0.2066, 0.2500, 0.2738)  6 Te 3.25-3.26, 1 Ag 3.58
Ca (0.7934, 0.7500, 0.7262)  6 Te 3.25-3.26, 1 Ag 3.58
Dy (0.3197, 0.7500, 0.8278)  6 Te 3.08-3.16
Dy (0.6803, 0.2500, 0.1722)  6 Te 3.08-3.16
Ag (0.0842, 0.2500, 0.5861)  4 Te 2.81-3.02, 2 Ag 2.94
Ag (0.9158, 0.7500, 0.4139)  4 Te 2.81-3.02, 2 Ag 2.94
Te (0.0726, 0.2500, 0.8584)  1 Ag 2.81, 2 Dy 3.08
Te (0.2780, 0.7500, 0.5201)  3 Ag 2.89-3.02, 1 Dy 3.08
Te (0.4154, 0.7500, 0.1461)  3 Dy 3.09-3.16, 2 Ca 3.25
Te (0.5846, 0.2500, 0.8539)  3 Dy 3.09-3.16, 2 Ca 3.25
Te (0.7220, 0.2500, 0.4799)  3 Ag 2.89-3.02, 1 Dy 3.08
Te (0.9274, 0.7500, 0.1416)  1 Ag 2.81, 2 Dy 3.08

=====

This record from the Alexandria database describes ScBeRe2 after structural relaxation. The functional is GGA-PBE.

Summary:
symmetry = Immm
calculated formation energy = 101 meV/atom
DOS at the Fermi energy = 2.57 states/eV per cell

Cell: 5.1191 5.1191 5.1191 Å, 144.53 129.33 63.38°
With the nearest neighbours (Å) after each atom.
Positions (direct):
Sc (0.0000, 0.0000, 0.0000)  4 Be 2.69, 4 Re 2.76
Be (0.5000, 0.5000, 0.0000)  4 Re 2.60, 4 Sc 2.69
Re (0.2617, 0.7617, 0.5000)  2 Be 2.60, 4 Re 2.70, 2 Sc 2.76
Re (0.7383, 0.2383, 0.5000)  2 Be 2.60, 4 Re 2.70, 2 Sc 2.76

=====

This record from the Alexandria database describes LaHoGa2Ge2 after structural relaxation. The functional is GGA-PBE.

Summary:
symmetry = P-3m1
calculated formation energy = -689 meV/atom
DOS at the Fermi energy = 1.04 states/eV per cell

Cell: 4.2027 4.2027 8.8317 Å, 90.00 90.00 120.00°
With the nearest neighbours (Å) after each atom.
Positions (direct):
La (0.0000, 0.0000, 0.0000)  6 Ga 3.10
Ho (0.0000, 0.0000, 0.5000)  6 Ge 2.99
Ga (0.3333, 0.6667, 0.7813)  3 Ge 2.54
Ga (0.6667, 0.3333, 0.2187)  3 Ge 2.54
Ge (0.3333, 0.6667, 0.3020)  3 Ga 2.54
Ge (0.6667, 0.3333, 0.6980)  3 Ga 2.54

=====

This record from the Alexandria database describes CeDyGeAu after structural relaxation. The functional is GGA-PBE.

Summary:
symmetry = F-43m
calculated formation energy = -666 meV/atom
DOS at the Fermi energy = 9.58 states/eV per cell

Cell: 5.1495 5.1495 5.1495 Å, 60.00 60.00 60.00°
With the nearest neighbours (Å) after each atom.
Positions (direct):
Ce (0.0000, 0.0000, 0.0000)  4 Ge 3.15, 4 Au 3.15
Dy (0.5000, 0.5000, 0.5000)  4 Ge 3.15, 4 Au 3.15
Ge (0.2500, 0.2500, 0.2500)  4 Ce 3.15, 4 Dy 3.15
Au (0.7500, 0.7500, 0.7500)  4 Dy 3.15, 4 Ce 3.15

=====

This record from the Alexandria database describes Y5NpBi6 after structural relaxation. The functional is GGA-PBE.

Summary:
symmetry = C2/m
calculated formation energy = -724 meV/atom
DOS at the Fermi energy = 11.01 states/eV per cell

Cell: 7.7795 7.7795 7.7799 Å, 99.59 99.59 119.99°
With the nearest neighbours (Å) after each atom.
Positions (direct):
Y (0.0000, 0.0000, 0.0000)  6 Bi 3.17
Y (0.1667, 0.8333, 0.5000)  6 Bi 3.17-3.18
Y (0.3336, 0.6664, 0.0000)  6 Bi 3.17-3.18
Y (0.6664, 0.3336, 0.0000)  6 Bi 3.17-3.18
Y (0.8333, 0.1667, 0.5000)  6 Bi 3.17-3.18
Np (0.5000, 0.5000, 0.5000)  6 Bi 3.18
Bi (0.0825, 0.4163, 0.2491)  5 Y 3.17-3.18, 1 Np 3.18
Bi (0.2493, 0.2493, 0.7498)  5 Y 3.17-3.18, 1 Np 3.18
Bi (0.4163, 0.0825, 0.2491)  5 Y 3.17-3.18, 1 Np 3.18
Bi (0.5837, 0.9175, 0.7509)  5 Y 3.17-3.18, 1 Np 3.18
Bi (0.7507, 0.7507, 0.2502)  5 Y 3.17-3.18, 1 Np 3.18
Bi (0.9175, 0.5837, 0.7509)  5 Y 3.17-3.18, 1 Np 3.18

=====

This record from the Alexandria database describes MgCoNi2Se after structural relaxation. The functional is GGA-PBE.

Summary:
symmetry = P4/mmm
formation energy from raw total energies = 0.24 eV/atom
DOS at the Fermi energy = 5.94 states/eV per cell

Cell: 4.3561 4.3561 4.3423 Å, 90.00 90.00 90.00°
With the nearest neighbours (Å) after each atom.
Positions (direct):
Mg (0.0000, 0.0000, 0.0000)  8 Ni 3.08, 4 Co 3.08
Co (0.5000, 0.5000, 0.0000)  2 Se 2.17
Ni (0.0000, 0.5000, 0.5000)  2 Se 2.18
Ni (0.5000, 0.0000, 0.5000)  2 Se 2.18
Se (0.5000, 0.5000, 0.5000)  2 Co 2.17, 4 Ni 2.18

=====

This record from the Alexandria database describes Zr2ScCrGe after structural relaxation. The functional is GGA-PBE.

Summary:
symmetry = P4/mmm
calculated formation energy = 406 meV/atom
DOS at the Fermi energy = 7.47 states/eV per cell

Cell: 4.7523 4.7523 4.8767 Å, 90.00 90.00 90.00°
With the nearest neighbours (Å) after each atom.
Positions (direct):
Zr (0.0000, 0.5000, 0.0000)  2 Cr 2.38
Zr (0.5000, 0.0000, 0.0000)  2 Cr 2.38
Sc (0.0000, 0.0000, 0.5000)  2 Cr 2.44
Cr (0.0000, 0.0000, 0.0000)  4 Zr 2.38, 2 Sc 2.44
Ge (0.5000, 0.5000, 0.5000)  4 Sc 3.36, 8 Zr 3.40

=====

This record from the Alexandria database describes Ba2AgO2F2 after structural relaxation. The functional is GGA-PBE.

Summary:
symmetry = I4/mmm
formation energy from raw total energies = -2.39 eV/atom
DOS at the Fermi energy = 1.40 states/eV per cell

Cell: 7.8609 7.8609 7.8609 Å, 148.71 148.71 44.84°
With the nearest neighbours (Å) after each atom.
Positions (direct):
Ba (0.1275, 0.1275, 0.0000)  1 F 2.64, 4 O 2.82
Ba (0.8725, 0.8725, 0.0000)  1 F 2.64, 4 O 2.82
Ag (0.5000, 0.5000, 0.0000)  4 O 2.12
O (0.0000, 0.5000, 0.5000)  2 Ag 2.12
O (0.5000, 0.0000, 0.5000)  2 Ag 2.12
F (0.3091, 0.3091, 0.0000)  1 Ba 2.64, 1 Ag 2.77
F (0.6909, 0.6909, 0.0000)  1 Ba 2.64, 1 Ag 2.77

=====

This record from the Alexandria database describes CsCd7Pb2 after structural relaxation. The functional is GGA-PBE.

Summary:
symmetry = Cmmm
calculated formation energy = 49 meV/atom
DOS at the Fermi energy = 4.20 states/eV per cell

Cell: 12.4195 12.4195 3.3696 Å, 90.00 90.00 145.05°
With the nearest neighbours (Å) after each atom.
Positions (direct):
Cs (0.0000, 0.0000, 0.0000)  2 Cs 3.37
Cd (0.0492, 0.3310, 0.5000)  3 Cd 2.84-2.98
Cd (0.3310, 0.0492, 0.5000)  3 Cd 2.84-2.98
Cd (0.3950, 0.6050, 0.0000)  6 Cd 2.98-3.00
Cd (0.5000, 0.5000, 0.5000)  4 Cd 3.00
Cd (0.6050, 0.3950, 0.0000)  6 Cd 2.98-3.00
Cd (0.6690, 0.9508, 0.5000)  3 Cd 2.84-2.98
Cd (0.9508, 0.6690, 0.5000)  3 Cd 2.84-2.98
Pb (0.2644, 0.7356, 0.5000)  6 Cd 3.22-3.52, 2 Pb 3.37
Pb (0.7356, 0.2644, 0.5000)  6 Cd 3.22-3.52, 2 Pb 3.37

=====

This record from the Alexandria database describes Zn2BiMoRu after structural relaxation. The functional is GGA-PBE.

Summary:
symmetry = P4/mmm
calculated formation energy = 755 meV/atom
DOS at the Fermi energy = 4.40 states/eV per cell

Cell: 4.8062 4.8062 4.7520 Å, 90.00 90.00 90.00°
With the nearest neighbours (Å) after each atom.
Positions (direct):
Zn (0.0000, 0.5000, 0.0000)  2 Ru 2.40
Zn (0.5000, 0.0000, 0.0000)  2 Ru 2.40
Bi (0.0000, 0.0000, 0.5000)  8 Zn 3.38, 4 Mo 3.40
Mo (0.5000, 0.5000, 0.5000)  2 Ru 2.38
Ru (0.5000, 0.5000, 0.0000)  2 Mo 2.38, 4 Zn 2.40

=====

This record from the Alexandria database describes KGeP2C after structural relaxation. The functional is GGA-PBE.

Summary:
symmetry = P4/mmm
calculated formation energy = 1222 meV/atom
DOS at the Fermi energy = 4.25 states/eV per cell

Cell: 5.0216 5.0216 4.0449 Å, 90.00 90.00 90.00°
With the nearest neighbours (Å) after each atom.
Positions (direct):
K (0.0000, 0.0000, 0.0000)  8 P 3.22, 4 C 3.55
Ge (0.5000, 0.5000, 0.5000)  2 C 2.02
P (0.0000, 0.5000, 0.5000)  2 Ge 2.51
P (0.5000, 0.0000, 0.5000)  2 Ge 2.51
C (0.5000, 0.5000, 0.0000)  2 Ge 2.02